# 1
# Ba2LaMn2N6 GGA-PBE optimized geometry
# **E_form (uncorrected)**: -0.660 eV per atom
# **Volume**: 387.9 Å³/cell
# **Mass density**: 5.20 g/cm³
data_Ba2LaMn2N6
_cell_length_a 10.677
_cell_length_b 6.045
_cell_length_c 7.112
_cell_angle_alpha 90.00
_cell_angle_beta 122.31
_cell_angle_gamma 90.00
_space_group_name_H-M_alt 'C 1 2/m 1'
_space_group_IT_number 12
loop_
_space_group_symop_operation_xyz
'x,y,z'
'-x,-y,-z'
'-x,y,-z'
'x,-y,z'
'x+1/2,y+1/2,z'
'-x+1/2,-y+1/2,-z'
'-x+1/2,y+1/2,-z'
'x+1/2,-y+1/2,z'
loop_
_atom_site_label
_atom_site_fract_x
_atom_site_fract_y
_atom_site_fract_z
_atom_site_occupancy
Ba1 0.217 0.000 0.197 1
La1 0.000 0.000 0.500 1
Mn1 0.038 0.500 0.193 1
N1 0.041 0.268 0.789 1
N2 0.223 0.500 0.333 1

=====

# 2
# BaLa2MnN4 GGA-PBE optimized geometry
# **E_form (uncorrected)**: -0.931 eV per atom
# **Volume**: 569.5 Å³/cell
# **Mass density**: 6.14 g/cm³
data_BaLa2MnN4
_cell_length_a 3.637
_cell_length_b 12.654
_cell_length_c 12.374
_cell_angle_alpha 90.00
_cell_angle_beta 90.00
_cell_angle_gamma 90.00
_space_group_name_H-M_alt 'C m c m'
_space_group_IT_number 63
_space_group_name_Hall '-C 2c 2'
loop_
_atom_site_label
_atom_site_fract_x
_atom_site_fract_y
_atom_site_fract_z
_atom_site_occupancy
Ba1 0.000 0.096 0.250 1
La1 0.000 0.369 0.043 1
Mn1 0.000 0.181 0.750 1
N1 0.000 0.000 0.000 1
N2 0.000 0.259 0.629 1
N3 0.000 0.384 0.250 1

=====

| no. | raw total energy (eV per atom) |
| --- | --- |
| 1 | -7.67 |
| 2 | -7.71 |